1.
Density functional theory data (PBE-GGA) for an optimized crystal structure of Y5Au.

Cell lengths 3.5723, 3.5723, 13.9341 Å; angles 90.00, 90.00, 90.00 degrees
Fractional coordinates of all 6 atoms:
Y 0.5000 0.5000 0.5142
Y 0.5000 0.5000 0.1524
Y 0.0000 0.0000 0.3333
Y 0.0000 0.0000 0.7027
Y 0.0000 0.0000 0.9640
Au 0.5000 0.5000 0.8333

Results
- Symmetry: No. 123
- Calculated volume: 29.636 Å³/atom
- Crystal system: tetragonal
- Energy of formation from the pure elements: -0.2539 eV/atom
- Calculated total energy: -6.19 eV/atom
- Energy above the most stable polymorph in this dataset: 5 meV/atom

2.
Density functional theory data (PBE-GGA) for an optimized crystal structure of BaIrC3.

Cell lengths 4.1439, 4.1439, 4.1439 Å; angles 90.00, 90.00, 90.00 degrees
Last column: magnetic moment on the atom in μB.
Fractional coordinates of all 5 atoms:
C 0.5000 0.0000 0.0000  0.04
C 0.0000 0.0000 0.5000  0.09
C 0.0000 0.5000 0.0000  0.09
Ir 0.0000 0.0000 0.0000  0.04
Ba 0.5000 0.5000 0.5000  0.02

Results
- Symmetry: No. 221
- Calculated volume: 14.232 Å³/atom
- Crystal system: cubic
- Energy of formation from the pure elements: 1.4771 eV/atom
- Calculated total energy: -6.21 eV/atom
- Energy above the most stable polymorph in this dataset: 0 meV/atom

3.
Density functional theory data (PBE-GGA) for an optimized crystal structure of EuMgCu.

Cell lengths 3.4873, 3.4873, 6.2936 Å; angles 106.08, 106.08, 90.00 degrees
Last column: magnetic moment on the atom in μB.
Fractional coordinates of all 3 atoms:
Eu 0.0157 0.0157 0.0314  -6.89
Cu 0.6877 0.6877 0.3753  0.01
Mg 0.2966 0.2966 0.5933  0.00

Results
- Symmetry: No. 107
- Calculated volume: 23.473 Å³/atom
- Crystal system: tetragonal
- Energy of formation from the pure elements: -0.0553 eV/atom
- Calculated total energy: -5.38 eV/atom

4.
Density functional theory data (PBE-GGA) for an optimized crystal structure of SmLuCdHg.

Cell lengths 5.2828, 5.2828, 5.2828 Å; angles 60.00, 60.00, 60.00 degrees
Fractional coordinates of all 4 atoms:
Cd 0.7500 0.7500 0.7500
Hg 0.2500 0.2500 0.2500
Sm 0.0000 0.0000 0.0000
Lu 0.5000 0.5000 0.5000

Results
- Symmetry: No. 216
- Calculated volume: 26.063 Å³/atom
- Crystal system: cubic
- Energy of formation from the pure elements: -0.3797 eV/atom
- Calculated total energy: -2.99 eV/atom